InGaSn2 after structural relaxation, computed with PBE.

Lattice parameters (Å, degrees): 3.620 3.620 7.783 90.00 90.00 90.00
Sites, in units of the cell vectors:
In (0.000, 0.000, 0.000)
Ga (0.000, 0.000, 0.500)
Sn (0.500, 0.500, 0.285)
Sn (0.500, 0.500, 0.715)

Output
For the size of the total moment, the calculation gives 0.00 μB per formula unit. The total energy comes out at -13.63 eV/f.u.

=====

LaPrHo2Hg4 after structural relaxation, computed with PBE.

Lattice parameters (Å, degrees): 9.316 9.316 9.316 33.59 33.59 33.59
Sites, in units of the cell vectors:
La (0.000, 0.000, 0.000)
Pr (0.500, 0.500, 0.500)
Ho (0.250, 0.250, 0.250)
Ho (0.750, 0.750, 0.750)
Hg (0.126, 0.126, 0.126)
Hg (0.376, 0.376, 0.376)
Hg (0.624, 0.624, 0.624)
Hg (0.874, 0.874, 0.874)

Output
For the size of the total moment, the calculation gives 1.12 μB per formula unit. The total energy comes out at -23.79 eV/f.u.

=====

PmHoNp2As4 after structural relaxation, computed with PBE.

Lattice parameters (Å, degrees): 7.170 4.115 7.173 90.00 109.25 90.00
Sites, in units of the cell vectors:
Pm (0.000, 0.000, 0.000)
Ho (0.500, 0.500, 0.000)
Np (0.000, 0.500, 0.500)
Np (0.500, 0.000, 0.500)
As (0.253, 0.000, 0.746)
As (0.257, 0.500, 0.257)
As (0.743, 0.500, 0.743)
As (0.747, 0.000, 0.254)

Output
For the size of the total moment, the calculation gives 0.07 μB per formula unit. The total energy comes out at -62.38 eV/f.u.

=====

Li6Au2N after structural relaxation, computed with PBE.

Lattice parameters (Å, degrees): 5.747 5.747 5.747 119.96 119.96 90.08
Sites, in units of the cell vectors:
Li (0.235, 0.235, 0.000)
Li (0.235, 0.235, 0.470)
Li (0.235, 0.765, 0.000)
Li (0.765, 0.235, 0.000)
Li (0.765, 0.765, 0.000)
Li (0.765, 0.765, 0.530)
Au (0.250, 0.750, 0.500)
Au (0.750, 0.250, 0.500)
N (0.000, 0.000, 0.000)

Output
Its raw formation energy is -3.2 eV/f.u. For the size of the total moment, the calculation gives 0.00 μB per formula unit. The total energy comes out at -29.60 eV/f.u.

=====

LaNiOs2 after structural relaxation, computed with PBE.

Lattice parameters (Å, degrees): 2.905 4.317 5.733 90.00 101.04 90.00
Sites, in units of the cell vectors:
La (0.000, 0.000, 0.000)
Ni (0.575, 0.500, 0.243)
Os (0.224, 0.500, 0.618)
Os (0.614, 0.000, 0.502)

Output
For the size of the total moment, the calculation gives 0.00 μB per formula unit. The total energy comes out at -32.21 eV/f.u.

=====

Ba2HfHg2 after structural relaxation, computed with PBE.

Lattice parameters (Å, degrees): 7.734 7.734 5.659 90.00 90.00 90.00
Sites, in units of the cell vectors:
Ba (0.177, 0.323, 0.000)
Ba (0.323, 0.823, 0.000)
Ba (0.677, 0.177, 0.000)
Ba (0.823, 0.677, 0.000)
Hf (0.000, 0.000, 0.500)
Hf (0.500, 0.500, 0.500)
Hg (0.142, 0.642, 0.500)
Hg (0.358, 0.142, 0.500)
Hg (0.642, 0.858, 0.500)
Hg (0.858, 0.358, 0.500)

Output
For the size of the total moment, the calculation gives 0.00 μB per formula unit. The total energy comes out at -14.25 eV/f.u.